1.
Compound: MnSnSe3
Source: Alexandria
Functional: GGA-PBE
Structure: relaxed

The value obtained for the total magnetic moment is 3.3 μB/f.u. The final energy comes out at -51.23 eV/cell.

It has space group P2_1/m (No. 11), with a = 6.843 Å, b = 3.805 Å, c = 9.570 Å, α = 90.00°, β = 90.59° and γ = 90.00°. The inequivalent atoms are Mn at (0.070, 0.250, 0.327), Sn at (0.432, 0.250, 0.690), Se at (0.074, 0.250, 0.815), Se at (0.208, 0.750, 0.488) and Se at (0.363, 0.250, 0.169).


2.
Compound: TaInNiC
Source: Alexandria
Functional: GGA-PBE
Structure: relaxed

The formation energy comes out at -0.053 eV/atom. The value obtained for the total magnetic moment is 0.0 μB/f.u.

It has space group R3m (No. 160, hexagonal axes), with a = 3.1905 Å, b = 3.1905 Å, c = 19.4541 Å, α = 90.00°, β = 90.00° and γ = 120.00°. The inequivalent atoms are Ta at (0.0000, 0.0000, 0.0000), In at (0.0000, 0.0000, 0.2068), Ni at (0.0000, 0.0000, 0.7703) and C at (0.0000, 0.0000, 0.3885).


3.
Compound: RbAg2As2
Source: Alexandria
Functional: GGA-PBE
Structure: relaxed

The formation energy comes out at -0.152 eV/atom. The value obtained for the total magnetic moment is 0.0 μB/f.u.

It has space group I4/mmm (No. 139), with a = 4.732 Å, b = 4.732 Å, c = 10.773 Å, α = 90.00°, β = 90.00° and γ = 90.00°. The inequivalent atoms are Rb at (0.000, 0.000, 0.000), Ag at (0.000, 0.500, 0.250) and As at (0.000, 0.000, 0.383).


4.
Compound: TmScZnCo
Source: Alexandria
Functional: GGA-PBE
Structure: relaxed

The formation energy comes out at -0.337 eV/atom. The value obtained for the total magnetic moment is 0.2 μB/f.u.

It has space group P4mm (No. 99), with a = 3.255 Å, b = 3.255 Å, c = 6.962 Å, α = 90.00°, β = 90.00° and γ = 90.00°. The inequivalent atoms are Tm at (0.000, 0.000, 0.000), Sc at (0.000, 0.000, 0.550), Zn at (0.500, 0.500, 0.294) and Co at (0.500, 0.500, 0.756).


5.
Compound: DyYSiSe
Source: Alexandria
Functional: GGA-PBE
Structure: relaxed

The value obtained for the total magnetic moment is 0.0 μB/f.u. The final energy comes out at -75.68 eV/cell.

It has space group R3m (No. 160, hexagonal axes), with a = 4.1033 Å, b = 4.1033 Å, c = 20.4111 Å, α = 90.00°, β = 90.00° and γ = 120.00°. The inequivalent atoms are Dy at (0.0000, 0.0000, 0.0000), Y at (0.0000, 0.0000, 0.4907), Si at (0.0000, 0.0000, 0.7452) and Se at (0.0000, 0.0000, 0.2456).


6.
Compound: CeTaRe4
Source: Alexandria
Functional: GGA-PBE
Structure: relaxed

The formation energy comes out at 0.063 eV/atom. The value obtained for the total magnetic moment is 0.0 μB/f.u.

It has space group F-43m (No. 216), with a = 7.564 Å, b = 7.564 Å, c = 7.564 Å, α = 90.00°, β = 90.00° and γ = 90.00°. The inequivalent atoms are Ce at (0.000, 0.000, 0.000), Ta at (0.250, 0.250, 0.750) and Re at (0.124, 0.124, 0.376).


7.
Compound: SiBiBTe
Source: Alexandria
Functional: GGA-PBE
Structure: relaxed

The value obtained for the total magnetic moment is 0.0 μB/f.u. The final energy comes out at -18.00 eV/cell.

It has space group Pm (No. 6), with a = 3.388 Å, b = 3.359 Å, c = 9.052 Å, α = 90.00°, β = 90.40° and γ = 90.00°. The inequivalent atoms are Si at (0.000, 0.000, 0.000), Bi at (0.006, 0.000, 0.297), B at (0.998, 0.500, 0.882) and Te at (0.495, 0.500, 0.719).


8.
Compound: SrZn2Ru
Source: Alexandria
Functional: GGA-PBE
Structure: relaxed

The formation energy comes out at 0.035 eV/atom. The value obtained for the total magnetic moment is 0.0 μB/f.u.

It has space group P4/mmm (No. 123), with a = 3.406 Å, b = 3.406 Å, c = 6.684 Å, α = 90.00°, β = 90.00° and γ = 90.00°. The inequivalent atoms are Sr at (0.000, 0.000, 0.000), Zn at (0.500, 0.500, 0.318) and Ru at (0.000, 0.000, 0.500).


9.
Compound: CeCuAgBr6
Source: Alexandria
Functional: GGA-PBE
Structure: relaxed

The value obtained for the total magnetic moment is 0.0 μB/f.u. The final energy comes out at -63.39 eV/cell.

It has space group P-31c (No. 163), with a = 6.8724 Å, b = 6.8724 Å, c = 13.0861 Å, α = 90.00°, β = 90.00° and γ = 120.00°. The inequivalent atoms are Ce at (0.3333, 0.6667, 0.2500), Cu at (0.3333, 0.6667, 0.7500), Ag at (0.0000, 0.0000, 0.0000) and Br at (0.0168, 0.3522, 0.6284).


10.
Compound: La3Ge2Pd6
Source: Alexandria
Functional: GGA-PBE
Structure: relaxed

The formation energy comes out at -0.813 eV/atom. The value obtained for the total magnetic moment is 0.0 μB/f.u.

It has space group Im-3m (No. 229), with a = 9.650 Å, b = 9.650 Å, c = 9.650 Å, α = 90.00°, β = 90.00° and γ = 90.00°. The inequivalent atoms are La at (0.000, 0.000, 0.287), Ge at (0.250, 0.250, 0.250) and Pd at (0.000, 0.331, 0.331).


11.
Compound: TbYSiSe
Source: Alexandria
Functional: GGA-PBE
Structure: relaxed

The value obtained for the total magnetic moment is 0.0 μB/f.u. The final energy comes out at -75.81 eV/cell.

It has space group R3m (No. 160, hexagonal axes), with a = 4.1128 Å, b = 4.1128 Å, c = 20.4635 Å, α = 90.00°, β = 90.00° and γ = 120.00°. The inequivalent atoms are Tb at (0.0000, 0.0000, 0.0000), Y at (0.0000, 0.0000, 0.4909), Si at (0.0000, 0.0000, 0.7456) and Se at (0.0000, 0.0000, 0.2452).


12.
Compound: Nd3Er2Tl
Source: Alexandria
Functional: GGA-PBE
Structure: relaxed

The formation energy comes out at -0.108 eV/atom. The value obtained for the total magnetic moment is 0.0 μB/f.u.

It has space group Cmmm (No. 65), with a = 5.005 Å, b = 15.277 Å, c = 4.910 Å, α = 90.00°, β = 90.00° and γ = 90.00°. The inequivalent atoms are Nd at (0.000, 0.000, 0.000), Nd at (0.000, 0.330, 0.000), Er at (0.000, 0.164, 0.500) and Tl at (0.000, 0.500, 0.500).